No. 1
# Pm12Pr5Ho

An optimized crystal structure of Pm12Pr5Ho (GGA-PBE, Alexandria via LeMat-Bulk).

Summary:
Energy of formation from the pure elements in eV per atom: 0.080
ρ in Mg/m³: 6.9
Size of the total moment in μB/cell: 0.00
Calculated volume in Å³/cell: 624

abc: 10.636 10.636 5.920
angles: 90.04 90.04 111.20
Fractional coordinates of all 18 atoms:
1 Pm 0.026 0.667 0.508
2 Pm 0.167 0.525 0.993
3 Pm 0.203 0.203 0.044
4 Pm 0.302 0.302 0.542
5 Pm 0.333 0.974 0.492
6 Pm 0.475 0.833 0.007
7 Pm 0.525 0.167 0.993
8 Pm 0.667 0.026 0.508
9 Pm 0.698 0.698 0.458
10 Pm 0.797 0.797 0.956
11 Pm 0.833 0.475 0.007
12 Pm 0.974 0.333 0.492
13 Pr 0.000 0.000 0.500
14 Pr 0.138 0.862 0.000
15 Pr 0.365 0.635 0.500
16 Pr 0.635 0.365 0.500
17 Pr 0.862 0.138 0.000
18 Ho 0.500 0.500 0.000

No. 2
# Pm12Pr3Ho

An optimized crystal structure of Pm12Pr3Ho (GGA-PBE, Alexandria via LeMat-Bulk).

Summary:
Energy of formation from the pure elements in eV per atom: 0.014
ρ in Mg/m³: 7.0
Size of the total moment in μB/cell: 0.00
Calculated volume in Å³/cell: 551

abc: 5.166 5.166 20.651
angles: 90.00 90.00 90.00
Fractional coordinates of all 16 atoms:
1 Pm 0.000 0.000 0.000
2 Pm 0.000 0.000 0.248
3 Pm 0.000 0.000 0.500
4 Pm 0.000 0.000 0.752
5 Pm 0.000 0.500 0.123
6 Pm 0.000 0.500 0.374
7 Pm 0.000 0.500 0.626
8 Pm 0.000 0.500 0.877
9 Pm 0.500 0.000 0.123
10 Pm 0.500 0.000 0.374
11 Pm 0.500 0.000 0.626
12 Pm 0.500 0.000 0.877
13 Pr 0.500 0.500 0.249
14 Pr 0.500 0.500 0.500
15 Pr 0.500 0.500 0.751
16 Ho 0.500 0.500 0.000

Question: Look up the energy of formation from the pure elements of the second one.
Answer: 0.014 eV per atom

Question: Number 1 is which compound?
Answer: Pm12Pr5Ho

Question: What is the size of the total moment in the first record?
Answer: 0.00 μB/cell

Question: What is the size of the total moment in the second record?
Answer: 0.00 μB/cell